# 1
# Tb3Pr4Ho8 | Alexandria via LeMat-Bulk | GGA-PBE | relaxed
# raw total energy	-4.525	eV/atom
# formation enthalpy at 0 K	0.12	eV/atom
# polymorph energy (0 for the lowest one)	0	meV per atom
data_Tb3Pr4Ho8
_cell_length_a 6.9733
_cell_length_b 6.9733
_cell_length_c 35.6017
_cell_angle_alpha 90.00
_cell_angle_beta 90.00
_cell_angle_gamma 120.00
_symmetry_space_group_name_H-M 'R -3 m'
_symmetry_Int_Tables_number 166
_symmetry_space_group_name_Hall '-R 3 2"'
loop_
_atom_site_label
_atom_site_fract_x
_atom_site_fract_y
_atom_site_fract_z
_atom_site_occupancy
Tb1 0.0000 0.5000 0.0000 1
Pr1 0.0000 0.0000 0.0000 1
Pr2 0.0000 0.0000 0.1634 1
Pr3 0.0000 0.0000 0.5000 1
Ho1 0.0000 0.0000 0.2552 1
Ho2 0.0018 0.5009 0.2513 1


# 2
# Zr3BiH2 | Alexandria via LeMat-Bulk | GGA-PBE | relaxed
# raw total energy	-6.251	eV/atom
data_Zr3BiH2
_cell_length_a 17.978
_cell_length_b 3.225
_cell_length_c 7.762
_cell_angle_alpha 90.00
_cell_angle_beta 104.17
_cell_angle_gamma 90.00
_symmetry_space_group_name_H-M 'C 1 2/m 1'
_symmetry_Int_Tables_number 12
loop_
_symmetry_equiv_pos_as_xyz
'x,y,z'
'-x,-y,-z'
'-x,y,-z'
'x,-y,z'
'x+1/2,y+1/2,z'
'-x+1/2,-y+1/2,-z'
'-x+1/2,y+1/2,-z'
'x+1/2,-y+1/2,z'
loop_
_atom_site_label
_atom_site_fract_x
_atom_site_fract_y
_atom_site_fract_z
_atom_site_occupancy
Zr1 0.062 0.000 0.185 1
Zr2 0.090 0.500 0.858 1
Zr3 0.233 0.500 0.187 1
Bi1 0.149 0.500 0.516 1
H1 0.033 0.000 0.709 1
H2 0.214 0.500 0.916 1


# 3
# Y2Mn2Tl | Alexandria via LeMat-Bulk | GGA-PBE | relaxed
# raw total energy	-6.333	eV/atom
# formation enthalpy at 0 K	0.39	eV/atom
data_Y2Mn2Tl
_cell_length_a 5.520
_cell_length_b 5.520
_cell_length_c 7.771
_cell_angle_alpha 90.00
_cell_angle_beta 90.00
_cell_angle_gamma 90.00
_symmetry_space_group_name_H-M 'I 4/m m m'
_symmetry_Int_Tables_number 139
_symmetry_space_group_name_Hall '-I 4 2'
loop_
_atom_site_label
_atom_site_fract_x
_atom_site_fract_y
_atom_site_fract_z
_atom_site_occupancy
Y1 0.000 0.500 0.250 1
Mn1 0.000 0.000 0.146 1
Tl1 0.000 0.000 0.500 1


# 4
# Tb2Nd6Sc3 | Alexandria via LeMat-Bulk | GGA-PBE | relaxed
# raw total energy	-5.082	eV/atom
# formation enthalpy at 0 K	0.09	eV/atom
data_Tb2Nd6Sc3
_cell_length_a 6.022
_cell_length_b 8.344
_cell_length_c 8.394
_cell_angle_alpha 105.28
_cell_angle_beta 108.28
_cell_angle_gamma 108.00
_symmetry_space_group_name_H-M 'P -1'
_symmetry_Int_Tables_number 2
loop_
_symmetry_equiv_pos_as_xyz
'x,y,z'
'-x,-y,-z'
loop_
_atom_site_label
_atom_site_fract_x
_atom_site_fract_y
_atom_site_fract_z
_atom_site_occupancy
Tb1 0.041 0.320 0.358 1
Nd1 0.074 0.143 0.709 1
Nd2 0.351 0.950 0.125 1
Nd3 0.490 0.593 0.825 1
Sc1 0.000 0.500 0.000 1
Sc2 0.435 0.763 0.443 1


# 5
# KBaTl2 | Alexandria via LeMat-Bulk | GGA-PBE | relaxed
# raw total energy	-2.102	eV/atom
# formation enthalpy at 0 K	-0.16	eV/atom
# polymorph energy (0 for the lowest one)	51	meV per atom
data_KBaTl2
_cell_length_a 5.581
_cell_length_b 5.581
_cell_length_c 9.310
_cell_angle_alpha 90.00
_cell_angle_beta 90.00
_cell_angle_gamma 90.00
_symmetry_space_group_name_H-M 'I -4 m 2'
_symmetry_Int_Tables_number 119
_symmetry_space_group_name_Hall 'I -4 -2'
loop_
_atom_site_label
_atom_site_fract_x
_atom_site_fract_y
_atom_site_fract_z
_atom_site_occupancy
K1 0.000 0.000 0.000 1
Ba1 0.000 0.500 0.250 1
Tl1 0.000 0.000 0.500 1
Tl2 0.000 0.500 0.750 1


# 6
# SiBSeBr2 | Alexandria via LeMat-Bulk | GGA-PBE | relaxed
# formation energy without anion corrections	933	meV/atom
# raw total energy	-2.853	eV/atom
# polymorph energy (0 for the lowest one)	161	meV per atom
data_SiBSeBr2
_cell_length_a 5.097
_cell_length_b 5.097
_cell_length_c 4.929
_cell_angle_alpha 90.00
_cell_angle_beta 90.00
_cell_angle_gamma 90.00
_symmetry_space_group_name_H-M 'P 4/m m m'
_symmetry_Int_Tables_number 123
_symmetry_space_group_name_Hall '-P 4 2'
loop_
_atom_site_label
_atom_site_fract_x
_atom_site_fract_y
_atom_site_fract_z
_atom_site_occupancy
Si1 0.000 0.000 0.000 1
B1 0.500 0.500 0.500 1
Se1 0.000 0.000 0.500 1
Br1 0.000 0.500 0.000 1


Volume, respectively: 33.32, 18.18, 23.68, 31.74, 36.25, 25.61 A^3/atom.